## TmMg3Sc (GGA-PBE)

Data for TmMg3Sc after structural relaxation.

Results
Spin magnetization, μB per cell: 0.000
E above lowest polymorph, eV/atom: 0.0000
Energy relative to the elements, eV/atom: -0.003
DOS at the Fermi energy, states/eV per cell: 8.5

a = 6.392 Å, b = 5.091 Å, c = 8.374 Å
α = 107.72°, β = 106.11°, γ = 89.99°
Atoms (fractional coordinates):
1 Tm 0.842 0.400 0.300
2 Tm 0.158 0.600 0.700
3 Mg 0.075 0.217 0.934
4 Mg 0.925 0.783 0.066
5 Mg 0.536 0.185 0.869
6 Mg 0.464 0.815 0.131
7 Mg 0.645 0.592 0.684
8 Mg 0.355 0.408 0.316
9 Sc 0.772 0.019 0.539
10 Sc 0.228 0.981 0.461